# 1
Material: TaRe7
Method: DFT, PBE
State: optimized geometry

Summary:
As for the crystal system: cubic. The symmetry is Fm-3m (225). As for the formation energy: 65 meV/atom.

Unit cell a=5.5848 b=5.5848 c=5.5848 alpha=60.00 beta=60.00 gamma=60.00
Fractional coordinates of all 8 atoms:
Re: 0.5000 0.0000 0.0000
Re: 0.5000 0.0000 0.5000
Re: 0.0000 0.5000 0.0000
Re: 0.5000 0.5000 0.0000
Re: 0.5000 0.5000 0.5000
Re: 0.0000 0.0000 0.5000
Re: 0.0000 0.5000 0.5000
Ta: 0.0000 0.0000 0.0000

# 2
Material: LiHfAl
Method: DFT, PBE
State: optimized geometry

Summary:
As for the crystal system: monoclinic. The symmetry is Pm (6). As for the formation energy: -110 meV/atom. The energy relative to the lowest polymorph listed for this composition is 6.3 kJ/mol of atoms.

Unit cell a=7.3930 b=3.2629 c=4.6757 alpha=90.00 beta=71.65 gamma=90.00
Fractional coordinates of all 6 atoms:
Hf: 0.9293 0.0000 0.0545
Hf: 0.2435 0.0000 0.3977
Al: 0.5857 0.5000 0.2256
Al: 0.2732 0.5000 0.8830
Li: 0.5858 0.0000 0.7256
Li: 0.8785 0.5000 0.5799

# 3
Material: Ti5Al2Fe2Os
Method: DFT, PBE
State: optimized geometry

Summary:
As for the crystal system: tetragonal. The symmetry is P4/mbm (127). As for the formation energy: -277 meV/atom.

Unit cell a=3.0092 b=10.1651 c=10.1651 alpha=90.00 beta=90.00 gamma=90.00
Fractional coordinates of all 20 atoms:
Os: 0.0000 0.0000 0.0000
Os: 0.0000 0.5000 0.5000
Ti: 0.5000 0.6993 0.4310
Ti: 0.5000 0.4310 0.3007
Ti: 0.5000 0.0690 0.8007
Ti: 0.5000 0.3007 0.5690
Ti: 0.5000 0.9310 0.1993
Ti: 0.5000 0.8007 0.9310
Ti: 0.5000 0.5690 0.6993
Ti: 0.5000 0.1993 0.0690
Ti: 0.5000 0.5000 0.0000
Ti: 0.5000 0.0000 0.5000
Al: 0.0000 0.8260 0.6740
Al: 0.0000 0.6740 0.1740
Al: 0.0000 0.3260 0.8260
Al: 0.0000 0.1740 0.3260
Fe: 0.0000 0.3688 0.1312
Fe: 0.0000 0.6312 0.8688
Fe: 0.0000 0.8688 0.3688
Fe: 0.0000 0.1312 0.6312

# 4
Material: FeTcOs
Method: DFT, PBE
State: optimized geometry

Summary:
As for the crystal system: monoclinic. The symmetry is C2 (5). As for the formation energy: 89 meV/atom. The energy relative to the lowest polymorph listed for this composition is 9.5 kJ/mol of atoms.

Unit cell a=4.6397 b=8.0342 c=4.6027 alpha=90.00 beta=109.01 gamma=90.00
Site moments in Bohr magnetons follow the coordinates.
Fractional coordinates of all 12 atoms:
Fe: 0.5000 0.6256 0.0000  1.93
Fe: 0.5000 0.1256 0.5000  1.93
Fe: 0.0000 0.4612 0.0000  2.06
Fe: 0.0000 0.9612 0.5000  2.06
Os: 0.5000 0.9575 0.0000  -0.12
Os: 0.5000 0.7935 0.5000  -0.13
Os: 0.5000 0.4575 0.5000  -0.12
Os: 0.5000 0.2935 0.0000  -0.13
Tc: 0.0000 0.6312 0.5000  -0.08
Tc: 0.0000 0.2938 0.5000  -0.11
Tc: 0.0000 0.7938 0.0000  -0.11
Tc: 0.0000 0.1312 0.0000  -0.08

# 5
Material: TaNiPdAu
Method: DFT, PBE
State: optimized geometry

Summary:
As for the crystal system: cubic. The symmetry is F-43m (216). As for the formation energy: -130 meV/atom.

Unit cell a=4.4351 b=4.4351 c=4.4351 alpha=60.00 beta=60.00 gamma=60.00
Fractional coordinates of all 4 atoms:
Pd: 0.7500 0.7500 0.7500
Ta: 0.0000 0.0000 0.0000
Ni: 0.2500 0.2500 0.2500
Au: 0.5000 0.5000 0.5000

# 6
Material: Zr2HRu
Method: DFT, PBE
State: optimized geometry

Summary:
As for the crystal system: trigonal. The symmetry is R-3m (166). The energy relative to the lowest polymorph listed for this composition is 1.7 kJ/mol of atoms.

Unit cell a=3.2673 b=3.2673 c=6.9319 alpha=76.37 beta=76.37 gamma=60.00
Fractional coordinates of all 4 atoms:
H: 0.5000 0.5000 0.5000
Ru: 0.0000 0.0000 0.0000
Zr: 0.7641 0.7641 0.7077
Zr: 0.2359 0.2359 0.2923

Computed values of VASP energy (unit: eV per atom) for the preceding records, in sequence: -12.3087, -5.3128, -7.7888, -9.9307, -6.6557, -7.6285.
Computed values of N(E_F) (unit: states/eV/cell) for the preceding records, in sequence: 6.06, 2.49, 20.09, 11.41, 4.33, 3.57.